[1]
## BaNi2F (PBE+U)

Data for crystalline BaNi2F at its relaxed geometry.

Values from the calculation:
total energy: -2.63 eV per atom
total magnetization: 2.0 μB per formula unit
space-group type: I4_1/amd (141)

a = 4.485 Å, b = 4.485 Å, c = 9.890 Å
α = 76.90°, β = 76.90°, γ = 90.00°
Last column: magnetic moment on the atom in μB.
Atoms (fractional coordinates):
Ni (0.375, 0.125, 0.250)  1.00
Ni (0.375, 0.625, 0.250)  1.00
Ni (0.375, 0.625, 0.750)  1.00
Ni (0.875, 0.625, 0.750)  1.00
Ba (0.000, 0.000, 0.000)  -0.01
Ba (0.750, 0.250, 0.500)  -0.01
F (0.500, 0.500, 0.000)  0.03
F (0.250, 0.750, 0.500)  0.03

[2]
## MnRuF3 (PBE+U)

Data for crystalline MnRuF3 at its relaxed geometry.

Values from the calculation:
total energy: -5.32 eV per atom
total magnetization: 5.9 μB per formula unit
space-group type: Pm-3m (221)

a = 4.226 Å, b = 4.226 Å, c = 4.226 Å
α = 90.00°, β = 90.00°, γ = 90.00°
Last column: magnetic moment on the atom in μB.
Atoms (fractional coordinates):
Ru (0.000, 0.000, 0.000)  0.01
Mn (0.500, 0.500, 0.500)  5.00
F (0.000, 0.500, 0.000)  0.07
F (0.000, 0.000, 0.500)  0.05
F (0.500, 0.000, 0.000)  0.04